Entry 1:
USi2Os2Rh | Alexandria | PBE | optimized geometry; formation energy from raw total energies = 0.242 eV/atom; total DFT energy (no corrections) = -0.309 hartree per atom; SG = No. 123
1.0
-0.015 3.846 2.378
1.436 -2.251 3.650
4.946 0.885 -1.401
Si Os Rh U
2 2 1 1
Cartesian
-0.007 1.923 1.189
0.718 -1.125 1.825
2.002 1.029 2.648
4.365 1.451 1.979
0.000 0.000 0.000
2.473 0.442 -0.700

=====

Entry 2:
YSiOsRh2 | Alexandria | PBE | optimized geometry; formation energy from raw total energies = 0.331 eV/atom; total DFT energy (no corrections) = -0.266 hartree per atom; SG = No. 123
1.0
4.826 0.000 0.000
0.000 4.495 0.000
0.000 0.000 4.826
Rh Os Si Y
2 1 1 1
Cartesian
2.413 0.000 0.000
0.000 0.000 2.413
0.000 0.000 0.000
0.000 2.247 0.000
2.413 2.247 2.413

=====

Entry 3:
SmOsRh | Alexandria | PBE | optimized geometry; total DFT energy (no corrections) = -0.282 hartree per atom; DFT formation energy = 8.5 kJ/mol of atoms; SG = No. 123
1.0
-1.132 -1.695 4.396
0.360 -1.388 -3.113
9.341 -1.594 1.791
Rh Os Sm
2 2 2
Cartesian
5.263 -2.726 2.975
2.785 -2.303 2.500
4.590 -1.667 0.540
-0.646 -1.716 1.842
1.592 -1.154 -0.035
7.589 -2.177 1.115

=====

Entry 4:
Sm8OsRh2 | Alexandria | PBE | optimized geometry; total DFT energy (no corrections) = -0.222 hartree per atom; DFT formation energy = -25.0 kJ/mol of atoms; SG = No. 8
1.0
6.199 0.031 -1.062
-2.074 6.747 -2.963
-0.220 -0.252 7.648
Sm Rh Os
8 2 1
Cartesian
5.528 1.206 4.414
2.877 2.340 -0.993
0.253 2.297 1.471
4.435 5.332 -1.841
3.362 0.509 1.783
0.250 6.060 1.941
0.729 4.248 4.688
3.497 4.256 2.197
1.485 4.619 -0.130
2.181 1.992 3.851
1.045 0.021 -0.169